Record 1
## Tb6CdOs (PBE)

Data for a geometry-optimized Tb6CdOs structure.

Cell lengths 6.878, 6.903, 7.523 Å; angles 90.22, 116.91, 119.86 degrees
Element x y z (fractional)
Tb: 0.040 0.082 0.257
Tb: 0.300 0.717 0.257
Tb: 0.322 0.541 0.743
Tb: 0.678 0.459 0.257
Tb: 0.700 0.283 0.743
Tb: 0.960 0.918 0.743
Cd: 0.500 0.000 0.000
Os: 0.500 0.500 0.500

Computed properties:
- ΔE_f: 0.05 eV per atom
- SG: No. 2
- Volume: 32.97 A^3/atom
- N(E_F): 1.36 states/eV per atom



Record 2
## TbThCdOs (PBE)

Data for a geometry-optimized TbThCdOs structure.

Cell lengths 7.269, 7.269, 7.269 Å; angles 90.00, 90.00, 90.00 degrees
Element x y z (fractional)
Tb: 0.000 0.000 0.000
Tb: 0.000 0.500 0.500
Tb: 0.500 0.000 0.500
Tb: 0.500 0.500 0.000
Th: 0.000 0.000 0.500
Th: 0.000 0.500 0.000
Th: 0.500 0.000 0.000
Th: 0.500 0.500 0.500
Cd: 0.250 0.250 0.250
Cd: 0.250 0.750 0.750
Cd: 0.750 0.250 0.750
Cd: 0.750 0.750 0.250
Os: 0.250 0.250 0.750
Os: 0.250 0.750 0.250
Os: 0.750 0.250 0.250
Os: 0.750 0.750 0.750

Computed properties:
- ΔE_f: -0.13 eV per atom
- SG: No. 216
- Volume: 24.00 A^3/atom
- N(E_F): 0.60 states/eV per atom